Record 1
An optimized crystal structure of Ag2HgCl. Source: the Alexandria database, functional GGA-PBE.

Cell: 6.5109 9.2397 3.2093 Å, 90.00 117.24 90.00°
Fractional positions:
Ag 0.2500 0.2500 0.0000
Ag 0.2500 0.7500 0.0000
Ag 0.7500 0.2500 0.0000
Ag 0.7500 0.7500 0.0000
Hg 0.0000 0.0000 0.5000
Hg 0.5000 0.5000 0.5000
Cl 0.0000 0.5000 0.5000
Cl 0.5000 0.0000 0.5000

Properties
DOS at the Fermi energy ... 0.16 states/eV per atom
Total magnetic moment ... 0.000 μB per cell
Relative energy among the computed polymorphs ... 160.6 meV per atom

Record 2
An optimized crystal structure of MgZr2Cl. Source: the Alexandria database, functional GGA-PBE.

Cell: 4.1483 4.1483 5.3048 Å, 90.00 90.00 90.00°
Fractional positions:
Mg 0.0000 0.0000 0.0000
Zr 0.0000 0.5000 0.5000
Zr 0.5000 0.0000 0.5000
Cl 0.5000 0.5000 0.0000

Properties
DOS at the Fermi energy ... 0.99 states/eV per atom
Total magnetic moment ... 0.000 μB per cell
Relative energy among the computed polymorphs ... 630.3 meV per atom

Computed values of formation energy (no corrections) (unit: meV/atom) for the preceding records, in sequence: 12, 142.